Material: Ac12Bi3Os5
Method: DFT, PBE-GGA
State: optimized geometry

The formation energy comes out at -0.065 eV/atom. The value obtained for the total moment is 0.000 μB/f.u. Its space group is Ia-3d, No. 230. For the density, the calculation gives 8.96 g cm⁻³. For the density of states at the Fermi level, the calculation gives 0.757 states/eV/atom.

Geometry as extended XYZ:
```
80
Lattice="-9.271 9.271 9.271 9.271 -9.271 9.271 9.271 9.271 -9.271" Properties=species:S:1:pos:R:3 pbc="T T T"
Ac 2.745 -0.582 0.980
Ac 11.162 5.616 -5.218
Ac 12.016 0.582 0.980
Ac 11.162 -3.655 5.218
Ac 8.689 -0.980 2.745
Ac 14.489 -1.891 3.655
Ac 0.980 2.745 -0.582
Ac 12.926 4.054 -1.891
Ac 5.616 5.218 -1.891
Ac 8.291 2.745 0.582
Ac -0.582 0.980 2.745
Ac 5.218 -1.891 5.616
Ac 8.689 8.291 -2.745
Ac 5.218 1.891 3.655
Ac 5.616 -5.218 11.162
Ac 8.291 -2.745 8.689
Ac 3.655 5.218 1.891
Ac 10.252 6.526 0.582
Ac 5.218 11.162 -3.655
Ac 8.689 0.980 6.526
Ac 2.745 8.689 -0.980
Ac 11.162 3.655 4.054
Ac 1.891 3.655 5.218
Ac 2.745 0.582 8.291
Ac 6.526 8.689 0.980
Ac 7.381 5.616 4.054
Ac -1.891 5.616 5.218
Ac 6.526 0.582 10.252
Ac 0.582 8.291 2.745
Ac 4.054 -1.891 12.926
Ac -0.980 2.745 8.689
Ac 5.616 4.054 7.381
Ac 0.980 12.016 0.582
Ac 3.655 14.489 -1.891
Ac 4.054 7.381 5.616
Ac 0.582 0.980 12.016
Ac 4.054 11.162 3.655
Ac 9.853 8.291 6.526
Ac 0.980 6.526 8.689
Ac 3.655 4.054 11.162
Ac -3.655 5.218 11.162
Ac 8.291 6.526 9.853
Ac -5.218 11.162 5.616
Ac 0.582 10.252 6.526
Ac -1.891 12.926 4.054
Ac -2.745 8.689 8.291
Ac -1.891 3.655 14.489
Ac 6.526 9.853 8.291
Bi 4.636 2.318 0.000
Bi 9.271 4.636 -2.318
Bi 2.318 0.000 4.636
Bi 11.589 0.000 4.636
Bi 0.000 4.636 2.318
Bi 4.636 -2.318 9.271
Bi 4.636 11.589 0.000
Bi 9.271 4.636 6.953
Bi -2.318 9.271 4.636
Bi 6.953 9.271 4.636
Bi 0.000 4.636 11.589
Bi 4.636 6.953 9.271
Os 0.000 0.000 0.000
Os 4.636 4.636 -4.636
Os 4.636 -4.636 4.636
Os 9.271 0.000 0.000
Os 13.907 2.318 0.000
Os 9.271 -4.636 6.953
Os 6.953 9.271 -4.636
Os 6.953 0.000 4.636
Os 4.636 6.953 0.000
Os 9.271 4.636 2.318
Os -4.636 4.636 4.636
Os 0.000 9.271 0.000
Os 0.000 0.000 9.271
Os 4.636 4.636 4.636
Os 0.000 4.636 6.953
Os 4.636 2.318 9.271
Os 2.318 9.271 4.636
Os 2.318 0.000 13.907
Os 0.000 13.907 2.318
Os -4.636 6.953 9.271
```